[1]
InCu2CI at its PBEsol-relaxed geometry. Source: the Alexandria database, functional meta-GGA SCAN.

abc: 4.8865 4.8865 4.2536
angles: 90.00 90.00 90.00
Fractional coordinates of all 5 atoms:
In  0.0000  0.0000  0.0000
Cu  0.0000  0.5000  0.5000
Cu  0.5000  0.0000  0.5000
C  0.5000  0.5000  0.0000
I  0.5000  0.5000  0.5000

Values from the calculation:
Formation energy from raw total energies: 1.84 eV per atom
Total DFT energy (no corrections): -20.287 eV/atom
Theoretical density: 6.23 g cm⁻³



[2]
CdH4Br2O8 at its PBEsol-relaxed geometry. Source: the Alexandria database, functional meta-GGA SCAN.

abc: 5.9866 9.1553 12.3303
angles: 90.00 90.00 90.00
Fractional coordinates of all 60 atoms:
Cd  0.0640  0.0795  0.2842
Cd  0.4360  0.9205  0.7842
Cd  0.5640  0.4205  0.7158
Cd  0.9360  0.5795  0.2158
H  0.1272  0.9139  0.1027
H  0.1457  0.4820  0.6120
H  0.1839  0.4040  0.0706
H  0.2460  0.0691  0.0792
H  0.2540  0.9309  0.5792
H  0.3161  0.5960  0.5706
H  0.3543  0.5180  0.1120
H  0.3728  0.0861  0.6027
H  0.6272  0.5861  0.8973
H  0.6457  0.0180  0.3880
H  0.6839  0.0960  0.9294
H  0.7460  0.4309  0.9208
H  0.7540  0.5691  0.4208
H  0.8161  0.9040  0.4294
H  0.8543  0.9820  0.8880
H  0.8728  0.4139  0.3973
Br  0.1705  0.6452  0.8859
Br  0.1915  0.2117  0.8851
Br  0.3085  0.7883  0.3851
Br  0.3295  0.3548  0.3859
Br  0.6705  0.8548  0.1141
Br  0.6915  0.2883  0.1149
Br  0.8085  0.7117  0.6149
Br  0.8295  0.1452  0.6141
O  0.0803  0.7883  0.3046
O  0.0824  0.2766  0.4225
O  0.1070  0.7550  0.7808
O  0.1388  0.0300  0.8827
O  0.1948  0.5101  0.0883
O  0.2096  0.7664  0.5127
O  0.2361  0.9865  0.1323
O  0.2475  0.4847  0.8312
O  0.2525  0.5153  0.3312
O  0.2639  0.0135  0.6323
O  0.2904  0.2336  0.0127
O  0.3052  0.4899  0.5883
O  0.3612  0.9700  0.3827
O  0.3930  0.2450  0.2808
O  0.4176  0.7234  0.9225
O  0.4197  0.2117  0.8046
O  0.5803  0.7117  0.6954
O  0.5824  0.2234  0.5775
O  0.6070  0.7450  0.2192
O  0.6388  0.4700  0.1173
O  0.6948  0.9899  0.9117
O  0.7096  0.7336  0.4873
O  0.7361  0.5135  0.8677
O  0.7475  0.0153  0.1688
O  0.7525  0.9847  0.6688
O  0.7639  0.4865  0.3677
O  0.7904  0.2664  0.9873
O  0.8052  0.0101  0.4117
O  0.8612  0.5300  0.6173
O  0.8930  0.2550  0.7192
O  0.9176  0.7766  0.0775
O  0.9197  0.2883  0.1954

Values from the calculation:
Total DFT energy (no corrections): -9.418 eV/atom
Theoretical density: 3.97 g cm⁻³



[3]
EuPb3 at its PBEsol-relaxed geometry. Source: the Alexandria database, functional meta-GGA SCAN.

abc: 4.8357 4.8357 4.8357
angles: 90.00 90.00 90.00
Fractional coordinates of all 4 atoms:
Eu  0.0000  0.0000  0.0000
Pb  0.0000  0.5000  0.5000
Pb  0.5000  0.0000  0.5000
Pb  0.5000  0.5000  0.0000

Values from the calculation:
Total DFT energy (no corrections): -70.799 eV/atom
Formation enthalpy at 0 K: -2.14 eV/f.u.
Theoretical density: 11.36 g cm⁻³



[4]
BaMo4Se at its PBEsol-relaxed geometry. Source: the Alexandria database, functional meta-GGA SCAN.

abc: 5.4613 5.4613 5.4613
angles: 60.00 60.00 60.00
Fractional coordinates of all 6 atoms:
Ba  0.0000  0.0000  0.0000
Mo  0.1381  0.6206  0.6206
Mo  0.6206  0.1381  0.6206
Mo  0.6206  0.6206  0.1381
Mo  0.6206  0.6206  0.6206
Se  0.2500  0.2500  0.2500

Values from the calculation:
Formation energy from raw total energies: 1.05 eV per atom
Total DFT energy (no corrections): -32.145 eV/atom
Theoretical density: 8.65 g cm⁻³



[5]
Ag2Br3 at its PBEsol-relaxed geometry. Source: the Alexandria database, functional meta-GGA SCAN.

abc: 7.3379 7.3379 7.3379
angles: 55.64 55.64 55.64
Fractional coordinates of all 10 atoms:
Ag  0.1611  0.1611  0.1611
Ag  0.3389  0.3389  0.3389
Ag  0.6611  0.6611  0.6611
Ag  0.8389  0.8389  0.8389
Br  0.0742  0.7500  0.4258
Br  0.2500  0.5742  0.9258
Br  0.4258  0.0742  0.7500
Br  0.5742  0.9258  0.2500
Br  0.7500  0.4258  0.0742
Br  0.9258  0.2500  0.5742

Values from the calculation:
Formation energy from raw total energies: -0.31 eV per atom
Total DFT energy (no corrections): -24.528 eV/atom
Energy above the most stable polymorph in this dataset: 0.000 eV/atom
Theoretical density: 6.02 g cm⁻³



[6]
PPb4Br at its PBEsol-relaxed geometry. Source: the Alexandria database, functional meta-GGA SCAN.

abc: 6.2763 6.2763 6.2763
angles: 60.00 60.00 60.00
Fractional coordinates of all 6 atoms:
P  0.0000  0.0000  0.0000
Pb  0.3745  0.3745  0.3745
Pb  0.3745  0.3745  0.8765
Pb  0.3745  0.8765  0.3745
Pb  0.8765  0.3745  0.3745
Br  0.7500  0.7500  0.7500

Values from the calculation:
Formation energy from raw total energies: 0.42 eV per atom
Total DFT energy (no corrections): -55.079 eV/atom
Theoretical density: 8.93 g cm⁻³



[7]
ScBeRe2 at its PBEsol-relaxed geometry. Source: the Alexandria database, functional meta-GGA SCAN.

abc: 2.8649 4.3901 4.6791
angles: 90.00 95.50 90.00
Fractional coordinates of all 4 atoms:
Sc  0.0000  0.0000  0.0000
Be  0.5000  0.0000  0.5000
Re  0.3152  0.5000  0.7391
Re  0.6848  0.5000  0.2609

Values from the calculation:
Total DFT energy (no corrections): -40.110 eV/atom
Formation enthalpy at 0 K: 0.34 eV/f.u.
Theoretical density: 12.09 g cm⁻³



[8]
Mg3Mo at its PBEsol-relaxed geometry. Source: the Alexandria database, functional meta-GGA SCAN.

abc: 2.9943 4.9619 9.9387
angles: 90.00 90.00 90.00
Fractional coordinates of all 8 atoms:
Mg  0.0000  0.0000  0.0000
Mg  0.0000  0.5000  0.2419
Mg  0.0000  0.5000  0.7581
Mg  0.5000  0.0000  0.2581
Mg  0.5000  0.0000  0.7419
Mg  0.5000  0.5000  0.5000
Mo  0.0000  0.0000  0.5000
Mo  0.5000  0.5000  0.0000

Values from the calculation:
Total DFT energy (no corrections): -12.073 eV/atom
Formation enthalpy at 0 K: 1.52 eV/f.u.
Energy above the most stable polymorph in this dataset: 0.094 eV/atom
Theoretical density: 3.80 g cm⁻³